Entry 1:
DFT (PBE-GGA) results for an optimized crystal structure of Tb8Dy2Y.

Cell lengths 9.0614, 16.4217, 5.9054 Å; angles 90.00, 125.45, 90.00 degrees
Space group C2/m (No. 12)
One atom of each set of equivalent atoms:
Tb (0.0000, 0.2049, 0.0000) [4 per cell]
Tb (0.0631, 0.5000, 0.7916) [4 per cell]
Tb (0.2186, 0.1210, 0.6894) [8 per cell]
Dy (0.0000, 0.3101, 0.5000) [4 per cell]
Y (0.0000, 0.0000, 0.0000) [2 per cell]

Computed properties:
For the energy above the most stable polymorph in this dataset, the calculation gives 0.79 kcal/mol of atoms. The calculation puts the total moment at 0.0000 μB/atom. The calculation puts the energy of formation at 0.150 eV/atom.


Entry 2:
DFT (PBE-GGA) results for an optimized crystal structure of Mg2ScB2Ir5.

Cell lengths 9.6811, 9.6811, 2.9811 Å; angles 90.00, 90.00, 90.00 degrees
Space group P4/mbm (No. 127)
One atom of each set of equivalent atoms:
Mg (0.1785, 0.3215, 0.0000) [4 per cell]
Sc (0.0000, 0.0000, 0.0000) [2 per cell]
B (0.1231, 0.6231, 0.0000) [4 per cell]
Ir (0.0000, 0.5000, 0.5000) [2 per cell]
Ir (0.0694, 0.7773, 0.5000) [8 per cell]

Computed properties:
The calculation puts the total moment at 0.0000 μB/atom. The calculation puts the energy of formation at -0.536 eV/atom.